Record 1
# PBE Tm2Sb, optimized geometry
# E_form (uncorrected) ... -0.612 eV per atom
# Final energy ... -4.97 eV per atom
# Symmetry ... No. 36
# V ... 27.9 Å³/atom
data_Tm2Sb
_chemical_formula_sum 'Tm8 Sb4'
_space_group_name_H-M_alt 'P 1'
_space_group_IT_number 1
_cell_length_a 4.0915
_cell_length_b 8.3613
_cell_length_c 9.9998
_cell_angle_alpha 90.00
_cell_angle_beta 101.80
_cell_angle_gamma 90.00
loop_
_space_group_symop_operation_xyz
'x,y,z'
loop_
_atom_site_label
_atom_site_fract_x
_atom_site_fract_y
_atom_site_fract_z
Sb1 0.2116 0.2141 0.4231
Sb2 0.7884 0.7141 0.5769
Sb3 0.5527 0.6963 0.1054
Sb4 0.4473 0.1963 0.8946
Tm1 0.9688 0.4907 0.9375
Tm2 0.6702 0.9478 0.3404
Tm3 0.3982 0.8166 0.7964
Tm4 0.8308 0.1225 0.6616
Tm5 0.6018 0.3166 0.2036
Tm6 0.0312 0.9907 0.0625
Tm7 0.3298 0.4478 0.6596
Tm8 0.1692 0.6225 0.3384

***

Record 2
# PBE Tm3Sb, optimized geometry
# E_form (uncorrected) ... -0.471 eV per atom
# Final energy ... -4.86 eV per atom
# Symmetry ... No. 11
# V ... 29.0 Å³/atom
data_Tm3Sb
_chemical_formula_sum 'Tm6 Sb2'
_space_group_name_H-M_alt 'P 1'
_space_group_IT_number 1
_cell_length_a 3.9484
_cell_length_b 6.4688
_cell_length_c 9.2474
_cell_angle_alpha 100.58
_cell_angle_beta 90.00
_cell_angle_gamma 90.00
loop_
_space_group_symop_operation_xyz
'x,y,z'
loop_
_atom_site_label
_atom_site_fract_x
_atom_site_fract_y
_atom_site_fract_z
Tm1 0.2500 0.0920 0.8685
Tm2 0.7500 0.7707 0.5887
Tm3 0.2500 0.2293 0.4113
Tm4 0.7500 0.9080 0.1315
Tm5 0.7500 0.4077 0.1366
Tm6 0.2500 0.5923 0.8634
Sb1 0.7500 0.2881 0.6633
Sb2 0.2500 0.7119 0.3367

***

Record 3
# PBE Tm5Sb, optimized geometry
# E_form (uncorrected) ... -0.291 eV per atom
# Final energy ... -4.70 eV per atom
# Symmetry ... No. 65
# V ... 27.8 Å³/atom
data_Tm5Sb
_chemical_formula_sum 'Tm5 Sb1'
_space_group_name_H-M_alt 'P 1'
_space_group_IT_number 1
_cell_length_a 4.8182
_cell_length_b 4.7424
_cell_length_c 7.6838
_cell_angle_alpha 107.97
_cell_angle_beta 90.00
_cell_angle_gamma 90.00
loop_
_space_group_symop_operation_xyz
'x,y,z'
loop_
_atom_site_label
_atom_site_fract_x
_atom_site_fract_y
_atom_site_fract_z
Sb1 0.0000 0.0000 0.0000
Tm1 0.5000 0.1694 0.3388
Tm2 0.0000 0.3384 0.6769
Tm3 0.5000 0.8306 0.6612
Tm4 0.5000 0.5000 0.0000
Tm5 0.0000 0.6616 0.3231

***

Record 4
# PBE Tm3Sb2, optimized geometry
# E_form (uncorrected) ... -0.836 eV per atom
# Final energy ... -5.17 eV per atom
# Symmetry ... No. 148
# V ... 27.6 Å³/atom
data_Tm3Sb2
_chemical_formula_sum 'Tm9 Sb6'
_space_group_name_H-M_alt 'P 1'
_space_group_IT_number 1
_cell_length_a 7.9322
_cell_length_b 7.9322
_cell_length_c 7.9322
_cell_angle_alpha 68.20
_cell_angle_beta 68.20
_cell_angle_gamma 68.20
loop_
_space_group_symop_operation_xyz
'x,y,z'
loop_
_atom_site_label
_atom_site_fract_x
_atom_site_fract_y
_atom_site_fract_z
Sb1 0.9672 0.5921 0.1861
Sb2 0.0328 0.4079 0.8139
Sb3 0.4079 0.8139 0.0328
Sb4 0.8139 0.0328 0.4079
Sb5 0.5921 0.1861 0.9672
Sb6 0.1861 0.9672 0.5921
Tm1 0.8343 0.3362 0.5812
Tm2 0.8166 0.8166 0.8166
Tm3 0.0000 0.0000 0.0000
Tm4 0.5812 0.8343 0.3362
Tm5 0.4188 0.1657 0.6638
Tm6 0.1657 0.6638 0.4188
Tm7 0.6638 0.4188 0.1657
Tm8 0.3362 0.5812 0.8343
Tm9 0.1834 0.1834 0.1834

***

Record 5
# PBE TmSb3, optimized geometry
# E_form (uncorrected) ... -0.454 eV per atom
# Final energy ... -4.66 eV per atom
# Symmetry ... No. 25
# V ... 30.1 Å³/atom
data_TmSb3
_chemical_formula_sum 'Tm1 Sb3'
_space_group_name_H-M_alt 'P 1'
_space_group_IT_number 1
_cell_length_a 4.3599
_cell_length_b 4.4827
_cell_length_c 6.1622
_cell_angle_alpha 90.00
_cell_angle_beta 90.00
_cell_angle_gamma 90.00
loop_
_space_group_symop_operation_xyz
'x,y,z'
loop_
_atom_site_label
_atom_site_fract_x
_atom_site_fract_y
_atom_site_fract_z
Sb1 0.0000 0.8648 0.5000
Sb2 0.5000 0.2752 0.0000
Sb3 0.5000 0.4296 0.5000
Tm1 0.0000 0.7639 0.0000

***

Record 6
# PBE TmSb3, optimized geometry
# E_form (uncorrected) ... -0.340 eV per atom
# Final energy ... -4.55 eV per atom
# Symmetry ... No. 194
# V ... 26.8 Å³/atom
data_TmSb3
_chemical_formula_sum 'Tm2 Sb6'
_space_group_name_H-M_alt 'P 1'
_space_group_IT_number 1
_cell_length_a 6.5830
_cell_length_b 6.5830
_cell_length_c 5.7101
_cell_angle_alpha 90.00
_cell_angle_beta 90.00
_cell_angle_gamma 120.00
loop_
_space_group_symop_operation_xyz
'x,y,z'
loop_
_atom_site_label
_atom_site_fract_x
_atom_site_fract_y
_atom_site_fract_z
Tm1 0.3333 0.6667 0.7500
Tm2 0.6667 0.3333 0.2500
Sb1 0.8246 0.6493 0.7500
Sb2 0.3507 0.1754 0.7500
Sb3 0.1754 0.8246 0.2500
Sb4 0.8246 0.1754 0.7500
Sb5 0.1754 0.3507 0.2500
Sb6 0.6493 0.8246 0.2500

***

Record 7
# PBE Tm4Sb, optimized geometry
# E_form (uncorrected) ... 0.174 eV per atom
# Final energy ... -4.23 eV per atom
# Symmetry ... No. 221
# V ... 35.9 Å³/atom
data_Tm4Sb
_chemical_formula_sum 'Tm4 Sb1'
_space_group_name_H-M_alt 'P 1'
_space_group_IT_number 1
_cell_length_a 5.6396
_cell_length_b 5.6396
_cell_length_c 5.6396
_cell_angle_alpha 90.00
_cell_angle_beta 90.00
_cell_angle_gamma 90.00
loop_
_space_group_symop_operation_xyz
'x,y,z'
loop_
_atom_site_label
_atom_site_fract_x
_atom_site_fract_y
_atom_site_fract_z
Sb1 0.5000 0.5000 0.5000
Tm1 0.5000 0.0000 0.5000
Tm2 0.0000 0.0000 0.0000
Tm3 0.0000 0.5000 0.5000
Tm4 0.5000 0.5000 0.0000

***

Record 8
# PBE Tm3Sb, optimized geometry
# E_form (uncorrected) ... -0.448 eV per atom
# Final energy ... -4.83 eV per atom
# Symmetry ... No. 139
# V ... 27.0 Å³/atom
data_Tm3Sb
_chemical_formula_sum 'Tm3 Sb1'
_space_group_name_H-M_alt 'P 1'
_space_group_IT_number 1
_cell_length_a 4.5668
_cell_length_b 4.5668
_cell_length_c 6.1001
_cell_angle_alpha 111.98
_cell_angle_beta 111.98
_cell_angle_gamma 90.00
loop_
_space_group_symop_operation_xyz
'x,y,z'
loop_
_atom_site_label
_atom_site_fract_x
_atom_site_fract_y
_atom_site_fract_z
Tm1 0.7500 0.2500 0.5000
Tm2 0.5000 0.5000 0.0000
Tm3 0.2500 0.7500 0.5000
Sb1 0.0000 0.0000 0.0000